Entry from Alexandria via LeMat-Bulk: crystalline SrGeMoO5 at its relaxed geometry (GGA+U).

Computed properties:
V   14.1 A^3/atom
DFT total energy   -220.68 eV/cell

Unit cell a=7.026 b=9.385 c=7.506 alpha=90.00 beta=114.53 gamma=90.00
Space group C2/c (No. 15)
Asymmetric unit:
Sr1 0.000 0.171 0.250 (multiplicity 4)
Ge1 0.000 0.185 0.750 (multiplicity 4)
Mo1 0.000 0.500 0.000 (multiplicity 4)
O1 0.000 0.436 0.250 (multiplicity 4)
O2 0.101 0.287 0.609 (multiplicity 8)
O3 0.188 0.063 0.911 (multiplicity 8)